Record 1
A relaxed NdZrZnCo crystal, computed with GGA-PBE.

Cell lengths 4.841, 4.841, 4.841 Å; angles 60.00, 60.00, 60.00 degrees
Sites, in units of the cell vectors:
Nd (0.000, 0.000, 0.000)
Zr (0.500, 0.500, 0.500)
Zn (0.250, 0.250, 0.250)
Co (0.750, 0.750, 0.750)

Calculated values
- Size of the total moment: 0.347 μB per formula unit
- ΔE_f: -0.0433 eV/atom
- Final energy: -5.47 eV/atom

=====

Record 2
A relaxed InNiAg crystal, computed with GGA-PBE.

Cell lengths 5.076, 5.076, 4.242 Å; angles 114.48, 114.48, 34.36 degrees
Sites, in units of the cell vectors:
In (0.000, 0.000, 0.000)
Ni (0.554, 0.554, 0.553)
Ag (0.782, 0.782, 0.284)

Calculated values
- ΔE to the lowest computed polymorph: 0.186 eV per atom
- Size of the total moment: 0.000 μB per formula unit
- ΔE_f: 0.1584 eV/atom
- Final energy: -3.63 eV/atom